Entry 1:
The following is a PBE calculation of an optimized crystal structure of BaLiCa2N, from the Alexandria database.

Its density is 2740 kg/m³. As for the uncorrected formation energy: -283 meV/atom. The value obtained for the density of states at the Fermi level is 4.9 states/eV per cell. The volume comes out at 144.5 Å³/f.u.

The structure belongs to space group P4/mmm (No. 123); the cell edges are 4.953, 4.953 and 5.891 Å and the angles 90.00°, 90.00° and 90.00°. The inequivalent atoms are Ba at (0.000, 0.000, 0.000), Li at (0.500, 0.500, 0.000), Ca at (0.000, 0.500, 0.500) and N at (0.000, 0.000, 0.500).

***

Entry 2:
The following is a PBE calculation of an optimized crystal structure of SrCdSn2, from the Alexandria database.

The formation enthalpy at 0 K comes out at -0.307 eV/atom. Its density is 6281 kg/m³. The value obtained for the density of states at the Fermi level is 4.1 states/eV per cell. The volume comes out at 115.6 Å³/f.u.

The structure belongs to space group Cmmm (No. 65); the cell edges are 6.464, 10.345 and 3.459 Å and the angles 90.00°, 90.00° and 90.00°. The inequivalent atoms are Sr at (0.000, 0.000, 0.000), Cd at (0.000, 0.500, 0.500) and Sn at (0.250, 0.250, 0.500).